No. 1
ZnSb2TeRu, single point on PBEsol structure, DFT meta-GGA SCAN; formation energy without anion corrections = 526 meV/atom; total magnetic moment = 0.000 μB per atom; electronic total energy = -31.496 eV per atom
1.0
4.9310 0.0000 0.0000
0.0000 4.9310 0.0000
0.0000 0.0000 5.5478
Sb Ru Te Zn
2 1 1 1
direct
0.5000 0.0000 0.0000 Sb
0.0000 0.5000 0.0000 Sb
0.0000 0.0000 0.0000 Ru
0.0000 0.0000 0.5000 Te
0.5000 0.5000 0.5000 Zn

---

No. 2
TiSb3Ru, single point on PBEsol structure, DFT meta-GGA SCAN; formation energy without anion corrections = 597 meV/atom; total magnetic moment = 0.535 μB per atom; electronic total energy = -31.931 eV per atom
1.0
-2.7938 -4.2039 -0.1092
0.1506 0.0310 -5.0464
4.2026 -2.7957 0.1082
Ru Sb Ti
1 3 1
direct
0.0000 0.0000 0.0000 Ru
0.5000 0.0000 0.0000 Sb
0.0000 0.0000 0.5000 Sb
0.0000 0.5000 0.0000 Sb
0.5000 0.5000 0.5000 Ti

---

No. 3
Tl2SbRu, single point on PBEsol structure, DFT meta-GGA SCAN; formation energy without anion corrections = 740 meV/atom; total magnetic moment = 0.002 μB per atom; electronic total energy = -53.461 eV per atom
1.0
4.3230 0.0000 0.0000
0.0000 4.3230 0.0000
-2.1615 -2.1615 4.5458
Tl Ru Sb
2 1 1
direct
0.2500 0.7500 0.5000 Tl
0.7500 0.2500 0.5000 Tl
0.5000 0.5000 0.0000 Ru
0.0000 0.0000 0.0000 Sb

---

No. 4
TlSb3Ru, single point on PBEsol structure, DFT meta-GGA SCAN; formation energy without anion corrections = 1749 meV/atom; total magnetic moment = 0.482 μB per atom; electronic total energy = -42.044 eV per atom
1.0
5.4728 0.0000 0.0000
0.0000 5.4728 0.0000
0.0000 0.0000 5.4728
Tl Sb Ru
1 3 1
direct
0.0000 0.0000 0.0000 Tl
0.0000 0.0000 0.5000 Sb
0.5000 0.0000 0.0000 Sb
0.0000 0.5000 0.0000 Sb
0.5000 0.5000 0.5000 Ru

---

No. 5
Tl2SbRu, single point on PBEsol structure, DFT meta-GGA SCAN; formation energy without anion corrections = 106 meV/atom; total magnetic moment = 0.000 μB per atom; electronic total energy = -54.095 eV per atom
1.0
-1.5200 -2.0903 -1.8986
-0.5554 -1.8976 2.5339
-7.5338 4.1887 1.4855
Sb Tl Ru
1 2 1
direct
0.4720 0.5000 0.3169 Sb
0.0640 0.0000 0.9992 Tl
0.4915 0.5000 0.7023 Tl
0.9725 0.0000 0.4816 Ru

---

No. 6
Tl2SbRu, single point on PBEsol structure, DFT meta-GGA SCAN; formation energy without anion corrections = 223 meV/atom; total magnetic moment = 0.000 μB per atom; electronic total energy = -53.978 eV per atom
1.0
-1.4402 -0.4118 2.7629
0.0589 -4.5318 -0.6448
6.4921 2.1244 1.9132
Sb Ru Tl
1 1 2
direct
0.1756 0.6756 0.3512 Sb
0.5131 0.5131 0.0263 Ru
0.8148 0.3148 0.6296 Tl
0.9964 0.9964 0.9929 Tl

---

No. 7
TlSb2Ru, single point on PBEsol structure, DFT meta-GGA SCAN; formation energy without anion corrections = 594 meV/atom; total magnetic moment = 0.000 μB per atom; electronic total energy = -44.833 eV per atom
1.0
3.4885 0.0281 0.0393
-0.0337 5.1014 0.0178
-0.0337 -1.6248 4.8357
Ru Sb Tl
1 2 1
direct
0.5000 0.0000 0.0000 Ru
0.0000 0.0000 0.5000 Sb
0.0000 0.5000 0.0000 Sb
0.5000 0.5000 0.5000 Tl

---

No. 8
TlSb3Ru, single point on PBEsol structure, DFT meta-GGA SCAN; formation energy without anion corrections = 347 meV/atom; total magnetic moment = 0.000 μB per atom; electronic total energy = -43.446 eV per atom
1.0
5.1297 0.0000 0.0000
0.0000 5.1297 0.0000
0.0000 0.0000 5.1297
Ru Sb Tl
1 3 1
direct
0.0000 0.0000 0.0000 Ru
0.0000 0.0000 0.5000 Sb
0.0000 0.5000 0.0000 Sb
0.5000 0.0000 0.0000 Sb
0.5000 0.5000 0.5000 Tl